Mg2ScCo: optimized geometry, PBE.

Calculated values
space group: No. 71

Structure (extended XYZ):
```
4
Lattice="-1.580 2.308 5.044 1.580 -2.308 5.044 1.580 2.308 -5.044" Properties=species:S:1:pos:R:3 pbc="T T T"
Mg 0.000 0.000 2.097
Mg 0.000 0.000 7.991
Sc 0.000 2.308 0.000
Co 1.580 0.000 0.000
```

MgSc3Co8: optimized geometry, PBE.

Calculated values
space group: No. 160

Structure (extended XYZ):
```
12
Lattice="2.434 1.405 7.950 -2.434 1.405 7.950 0.000 -2.811 7.950" Properties=species:S:1:pos:R:3 pbc="T T T"
Mg 0.000 0.000 0.000
Sc 0.000 0.000 2.938
Sc 0.000 0.000 11.950
Sc 0.000 0.000 14.971
Co 0.000 -1.407 5.481
Co -1.216 -0.702 9.454
Co -1.219 0.704 5.481
Co 0.000 0.000 7.469
Co 1.216 -0.702 9.454
Co 0.000 1.404 9.454
Co 1.219 0.704 5.481
Co 0.000 0.000 19.395
```

MgScCo2: optimized geometry, PBE.

Calculated values
space group: No. 99

Structure (extended XYZ):
```
4
Lattice="3.012 0.000 0.000 0.000 3.012 0.000 0.000 0.000 7.122" Properties=species:S:1:pos:R:3 pbc="T T T"
Mg 0.000 0.000 0.000
Sc 1.506 1.506 2.566
Co 0.000 0.000 4.278
Co 1.506 1.506 5.408
```

Mg2Sc2Co: optimized geometry, PBE.

Calculated values
space group: No. 139
polymorph energy (0 for the lowest one): 0 kJ/mol of formula units

Structure (extended XYZ):
```
5
Lattice="-1.584 1.584 10.023 1.584 -1.584 10.023 1.584 1.584 -10.023" Properties=species:S:1:pos:R:3 pbc="T T T"
Mg 0.000 0.000 3.905
Mg 0.000 0.000 16.142
Sc 0.000 0.000 8.505
Sc 0.000 0.000 11.542
Co 0.000 0.000 0.000
```

Mg2ScCo: optimized geometry, PBE.

Calculated values
space group: No. 123

Structure (extended XYZ):
```
4
Lattice="3.110 0.000 0.000 0.000 3.110 0.000 0.000 0.000 7.599" Properties=species:S:1:pos:R:3 pbc="T T T"
Mg 0.000 0.000 1.457
Mg 0.000 0.000 6.142
Sc 1.555 1.555 3.799
Co 1.555 1.555 0.000
```

Mg2ScCo9: optimized geometry, PBE.

Calculated values
space group: No. 166

Structure (extended XYZ):
```
12
Lattice="2.407 1.389 7.867 -2.407 1.389 7.867 0.000 -2.779 7.867" Properties=species:S:1:pos:R:3 pbc="T T T"
Mg 0.000 0.000 3.369
Mg 0.000 0.000 20.231
Sc 0.000 0.000 0.000
Co -1.227 -0.708 9.845
Co 0.000 0.000 7.925
Co 0.000 -1.416 13.755
Co -1.227 0.708 13.755
Co 0.000 0.000 11.800
Co 1.227 -0.708 9.845
Co 0.000 1.416 9.845
Co 0.000 0.000 15.675
Co 1.227 0.708 13.755
```

Mg2ScCo: optimized geometry, PBE.

Calculated values
space group: No. 122

Structure (extended XYZ):
```
8
Lattice="-1.932 1.932 10.265 1.932 -1.932 10.265 1.932 1.932 -10.265" Properties=species:S:1:pos:R:3 pbc="T T T"
Mg 2.898 0.897 -2.566
Mg 0.897 0.966 2.566
Mg -0.966 1.034 7.699
Mg 1.034 0.966 12.831
Sc 1.932 0.000 5.133
Sc 0.000 0.000 10.265
Co 0.000 0.000 0.000
Co 0.000 1.932 5.133
```

Mg2ScCo: optimized geometry, PBE.

Calculated values
space group: No. 10

Structure (extended XYZ):
```
4
Lattice="3.063 0.000 0.000 0.000 4.636 0.000 -1.431 0.000 5.136" Properties=species:S:1:pos:R:3 pbc="T T T"
Mg 0.105 0.000 1.416
Mg 1.526 0.000 3.719
Sc 1.531 2.318 0.000
Co -0.716 2.318 2.568
```

no.,ΔH_f (0 K) (kcal/mol of atoms),E_tot (eV/atom)
1,-0.355,-4.1720
2,-6.537,-6.7365
3,-0.253,-5.5454
4,-4.550,-4.7889
5,2.633,-4.0425
6,-1.827,-6.2020
7,7.208,-3.8441
8,2.798,-4.0353